Entry from Alexandria: a relaxed structure of CdCo2Ir (GGA-PBE).

The value obtained for the formation energy is 0.3027 eV per atom.

The structure belongs to space group P4/mmm (No. 123); the cell edges are 4.418, 4.418 and 2.864 Å and the angles 90.00°, 90.00° and 90.00°. Symmetry generates all atoms from Cd at (0.000, 0.000, 0.000), Co at (0.000, 0.500, 0.500) and Ir at (0.500, 0.500, 0.000).